# ScZn3Tc (GGA-PBE, optimized geometry)
# * V: 105.0 Å³/cell
# * symmetry: Pm-3m, No. 221
# * formation energy from the elements: 10.19 kcal/mol of atoms
# * total magnetization: 0.00 μB/cell
# * relative energy among the computed polymorphs: 0 meV per atom
# * DFT total energy: -18.3 eV per formula unit
# * theoretical density: 5.363 g/cm³
data_ScZn3Tc
_chemical_formula_sum 'Sc1 Zn3 Tc1'
_cell_length_a 4.7180
_cell_length_b 4.7180
_cell_length_c 4.7180
_cell_angle_alpha 90.00
_cell_angle_beta 90.00
_cell_angle_gamma 90.00
_space_group_name_H-M_alt 'P 1'
_space_group_IT_number 1
loop_
_space_group_symop_operation_xyz
'x,y,z'
loop_
_atom_site_label
_atom_site_fract_x
_atom_site_fract_y
_atom_site_fract_z
Sc1 0.5000 0.5000 0.5000
Zn1 0.0000 0.0000 0.5000
Zn2 0.5000 0.0000 0.0000
Zn3 0.0000 0.5000 0.0000
Tc1 0.0000 0.0000 0.0000